Here is a crystal of V4S9Br4 relaxed with PBEsol from Alexandria. Energies are from SCAN.

Results
The raw total energy comes out at -498.03 eV for the cell shown. The calculation puts the uncorrected formation energy at -0.86 eV per atom.

extended XYZ file:
```
34
Lattice="-6.721 1.972 0.990 -1.033 -7.392 7.710 3.184 7.181 7.311" Properties=species:S:1:pos:R:3 pbc="T T T"
V -2.741 -2.986 6.265
V -2.319 4.795 6.314
V -0.141 4.252 9.498
V -3.184 2.845 4.329
V -3.071 -0.590 11.931
V -0.422 2.245 11.591
V -2.461 -0.979 4.172
V -3.936 -2.540 9.946
S -4.848 3.745 2.942
S -3.452 -5.212 6.622
S -2.814 -0.645 1.859
S -3.225 -0.314 9.589
S -4.979 -0.532 10.567
S -1.698 -4.994 5.645
S -4.066 -2.654 4.378
S -1.257 -1.834 2.349
S -2.150 -0.710 6.499
S -2.830 2.511 6.642
S 1.026 2.232 9.745
S -1.528 7.012 6.519
S -1.578 4.521 4.123
S -0.933 2.035 9.294
S -0.797 -1.879 5.560
S -3.495 2.576 2.002
S -4.388 3.700 6.152
S -3.487 6.815 6.067
Br -2.562 4.936 8.902
Br -0.523 -0.356 11.569
Br -4.894 -2.328 7.535
Br -1.783 -3.198 8.676
Br -1.159 1.270 4.017
Br -4.486 0.596 4.484
Br -2.970 2.011 11.953
Br 0.101 4.111 6.910
```


Here is a crystal of Mn3Al4 relaxed with PBEsol from Alexandria. Energies are from SCAN.

Results
The raw total energy comes out at -87.30 eV for the cell shown. The formation energy comes out at -0.22 eV per atom.

extended XYZ file:
```
7
Lattice="-0.043 -2.078 -2.069 2.907 -0.300 0.241 -2.750 -5.869 8.032" Properties=species:S:1:pos:R:3 pbc="T T T"
Mn 0.000 0.000 0.000
Mn -0.745 -3.986 4.020
Mn 0.858 -4.261 2.184
Al -0.397 -2.126 2.144
Al 0.511 -6.121 4.060
Al -1.146 -6.135 6.187
Al 1.260 -2.112 0.017
```


Here is a crystal of Li2AlVO4 relaxed with PBEsol from Alexandria. Energies are from SCAN.

Results
The raw total energy comes out at -306.40 eV for the cell shown. The calculation puts the uncorrected formation energy at -2.71 eV per atom.

extended XYZ file:
```
32
Lattice="-0.229 -3.977 0.524 1.088 0.813 6.645 -11.258 0.878 1.736" Properties=species:S:1:pos:R:3 pbc="T T T"
Li -3.319 -0.290 4.048
Li -6.360 -0.267 2.895
Li -0.759 -0.727 1.854
Li -8.406 0.553 8.225
Li -1.993 -2.840 0.681
Li -9.641 -1.560 7.052
Li -4.040 -2.020 6.011
Li -7.081 -1.996 4.858
Al -10.215 -1.971 3.678
Al -4.596 -2.418 2.746
Al -5.803 0.131 6.160
Al -0.185 -0.316 5.227
V -1.552 -2.443 3.888
V -7.686 -2.381 1.677
V -2.714 0.094 7.229
V -8.847 0.156 5.018
O -9.079 -1.853 5.071
O -3.442 -2.306 4.105
O -6.358 -2.278 3.034
O -10.007 0.026 3.518
O -4.426 -0.449 2.359
O -0.723 -2.714 2.197
O -9.552 -2.225 2.039
O -3.962 -2.674 1.080
O -6.438 0.387 7.826
O -0.848 -0.062 6.867
O -9.676 0.427 6.708
O -5.974 -1.838 6.547
O -0.392 -2.312 5.387
O -4.042 -0.008 5.871
O -6.957 0.019 4.801
O -1.320 -0.434 3.835
```


Here is a crystal of CrTcS2N relaxed with PBEsol from Alexandria. Energies are from SCAN.

Results
The raw total energy comes out at -80.06 eV for the cell shown. The calculation puts the uncorrected formation energy at 0.39 eV per atom.

extended XYZ file:
```
5
Lattice="-1.796 1.544 2.491 -3.751 -0.156 -2.608 -1.058 -4.081 1.767" Properties=species:S:1:pos:R:3 pbc="T T T"
Cr 0.000 0.000 0.000
S -0.529 -2.041 0.883
S -1.875 -0.078 -1.304
Tc -3.303 -1.347 0.825
N -0.898 0.772 1.245
```


Here is a crystal of SiSbAsI2 relaxed with PBEsol from Alexandria. Energies are from SCAN.

Results
The raw total energy comes out at -136.89 eV for the cell shown. The calculation puts the uncorrected formation energy at 0.81 eV per atom.

extended XYZ file:
```
5
Lattice="5.201 0.000 0.000 0.000 5.201 0.000 0.000 0.000 5.445" Properties=species:S:1:pos:R:3 pbc="T T T"
I 0.000 2.600 0.000
I 2.600 0.000 0.000
Sb 0.000 0.000 2.723
As 2.600 2.600 2.723
Si 0.000 0.000 0.000
```


Here is a crystal of LiS2F relaxed with PBEsol from Alexandria. Energies are from SCAN.

Results
The raw total energy comes out at -24.16 eV for the cell shown. The calculation puts the uncorrected formation energy at 0.26 eV per atom.

extended XYZ file:
```
4
Lattice="-1.316 -2.280 -0.725 0.441 -1.109 -2.456 5.980 -5.773 2.163" Properties=species:S:1:pos:R:3 pbc="T T T"
S 0.831 -4.653 -2.303
S 4.274 -4.510 1.286
F 2.552 -4.581 -0.509
Li 0.000 0.000 0.000
```


Here is a crystal of AlTcO2F relaxed with PBEsol from Alexandria. Energies are from SCAN.

Results
The raw total energy comes out at -68.26 eV for the cell shown. The calculation puts the uncorrected formation energy at -1.89 eV per atom.

extended XYZ file:
```
5
Lattice="3.660 0.000 0.000 0.000 3.759 0.000 0.000 0.000 3.759" Properties=species:S:1:pos:R:3 pbc="T T T"
F 1.830 0.000 0.000
Tc 1.830 1.880 1.880
O 0.000 0.000 1.880
O 0.000 1.880 0.000
Al 0.000 0.000 0.000
```


Here is a crystal of Tl2SbIr relaxed with PBEsol from Alexandria. Energies are from SCAN.

Results
The raw total energy comes out at -250.81 eV for the cell shown. The calculation puts the uncorrected formation energy at 0.57 eV per atom.

extended XYZ file:
```
4
Lattice="4.975 0.000 0.000 2.487 4.308 0.000 2.487 1.436 4.062" Properties=species:S:1:pos:R:3 pbc="T T T"
Ir 4.975 2.872 2.031
Sb 2.487 1.436 1.015
Tl 0.000 0.000 0.000
Tl 7.462 4.308 3.046
```


Here is a crystal of Cu2W2N relaxed with PBEsol from Alexandria. Energies are from SCAN.

Results
The raw total energy comes out at -173.66 eV for the cell shown. The calculation puts the uncorrected formation energy at 1.08 eV per atom.

extended XYZ file:
```
5
Lattice="-2.693 0.136 -1.385 0.343 -2.859 -0.948 -1.848 -0.878 6.826" Properties=species:S:1:pos:R:3 pbc="T T T"
Cu -1.340 -2.549 2.356
Cu -2.858 -1.052 2.137
W -2.482 -1.839 4.648
W -1.715 -1.762 -0.155
N 0.000 0.000 0.000
```


Here is a crystal of Gd2C3 relaxed with PBEsol from Alexandria. Energies are from SCAN.

Results
The raw total energy comes out at -597.25 eV for the cell shown. The formation energy comes out at -0.28 eV per atom.

extended XYZ file:
```
20
Lattice="7.123 0.000 0.000 -2.374 6.716 0.000 -2.374 -3.358 5.816" Properties=species:S:1:pos:R:3 pbc="T T T"
Gd -0.241 -0.341 5.225
Gd 2.133 -0.996 2.908
Gd -2.616 1.338 3.499
Gd 0.724 0.000 0.000
Gd 0.946 2.362 2.908
Gd 3.320 4.695 2.317
Gd -1.429 3.016 0.591
Gd 4.286 0.000 0.000
C -0.206 0.146 2.655
C 0.206 4.891 0.253
C 0.981 4.343 1.201
C -0.981 0.693 1.707
C 2.168 0.985 4.615
C -2.168 4.051 4.109
C -1.394 3.504 3.161
C 1.394 1.533 5.563
C 4.542 -1.131 4.362
C 2.581 1.131 1.454
C 3.355 2.226 1.454
C 3.768 -2.226 4.362
```


Here is a crystal of Al2AsPd2 relaxed with PBEsol from Alexandria. Energies are from SCAN.

Results
The raw total energy comes out at -208.04 eV for the cell shown. The formation energy comes out at -0.56 eV per atom.

extended XYZ file:
```
10
Lattice="2.788 0.000 0.000 0.000 7.488 0.000 0.000 0.000 7.488" Properties=species:S:1:pos:R:3 pbc="T T T"
As 0.000 0.000 0.000
As 0.000 3.744 3.744
Al 0.000 2.587 6.331
Al 0.000 6.331 4.901
Al 0.000 4.901 1.157
Al 0.000 1.157 2.587
Pd 1.394 1.036 4.780
Pd 1.394 4.780 6.452
Pd 1.394 6.452 2.708
Pd 1.394 2.708 1.036
```


Here is a crystal of Mg2SbTe relaxed with PBEsol from Alexandria. Energies are from SCAN.

Results
The raw total energy comes out at -86.54 eV for the cell shown. The calculation puts the uncorrected formation energy at -0.52 eV per atom.

extended XYZ file:
```
4
Lattice="-0.348 3.967 0.410 -1.554 -1.825 -3.207 -5.200 -1.037 5.615" Properties=species:S:1:pos:R:3 pbc="T T T"
Mg -4.866 1.296 2.875
Mg -2.237 -0.190 -0.057
Sb -0.174 1.983 0.205
Te -2.600 -0.519 2.808
```